No. 1
Pr5InSn4, relaxed, DFT PBE; electronic total energy = -46.56 eV per cell; ΔH_f (0 K) = -391 meV/atom
1.0
8.9955 -2.2595 0.0000
8.9955 2.2595 0.0000
-1.4165 0.0000 7.9487
Pr In Sn
5 1 4
direct
0.0000 0.0000 0.0000 Pr
0.2879 0.2879 0.8432 Pr
0.3766 0.3766 0.3172 Pr
0.6234 0.6234 0.6828 Pr
0.7121 0.7121 0.1568 Pr
0.0000 0.0000 0.5000 In
0.1855 0.1855 0.4308 Sn
0.4447 0.4447 0.7181 Sn
0.5553 0.5553 0.2819 Sn
0.8145 0.8145 0.5692 Sn

No. 2
Pr5In2Sn, relaxed, DFT PBE; electronic total energy = -74.18 eV per cell; ΔH_f (0 K) = -464 meV/atom
1.0
-4.3563 4.3563 6.7327
4.3563 -4.3563 6.7327
4.3563 4.3563 -6.7327
Pr In Sn
10 4 2
direct
0.0000 0.0000 0.0000 Pr
0.0138 0.5138 0.8317 Pr
0.1821 0.0138 0.5000 Pr
0.3179 0.8179 0.8317 Pr
0.4862 0.3179 0.5000 Pr
0.5000 0.5000 0.0000 Pr
0.5138 0.6821 0.5000 Pr
0.6821 0.1821 0.1683 Pr
0.8179 0.9862 0.5000 Pr
0.9862 0.4862 0.1683 Pr
0.1305 0.3695 0.5000 In
0.3695 0.8695 0.2390 In
0.6305 0.1305 0.7610 In
0.8695 0.6305 0.5000 In
0.2500 0.2500 0.0000 Sn
0.7500 0.7500 0.0000 Sn

Q: Which spin magnetization values were calculated for the entries above? A: 0.721, 0.000, in μB per formula unit.